DFT (PBE) results for an optimized crystal structure of CdRe2Tc.

## Properties
- size of the total moment (μB/f.u.) = 0.00
- ΔH_f (0 K) (meV/atom) = 390
- calculated volume (Å³/cell) = 65.3
- total energy (eV/atom) = -8.6547

Unit cell a=2.819 b=3.977 c=5.823 alpha=90.00 beta=90.00 gamma=90.00
Sites, in units of the cell vectors:
Cd (0.500, 0.500, 0.748)
Re (0.000, 0.000, 0.040)
Re (0.500, 0.500, 0.248)
Tc (0.000, 0.000, 0.464)

***

DFT (PBE) results for an optimized crystal structure of CdReTc2.

## Properties
- size of the total moment (μB/f.u.) = 0.00
- ΔH_f (0 K) (meV/atom) = 646
- calculated volume (Å³/cell) = 63.5
- total energy (eV/atom) = -7.8781

Unit cell a=4.477 b=4.477 c=4.477 alpha=60.00 beta=60.00 gamma=60.00
Sites, in units of the cell vectors:
Cd (0.500, 0.500, 0.500)
Re (0.750, 0.750, 0.750)
Tc (0.000, 0.000, 0.000)
Tc (0.250, 0.250, 0.250)

***

DFT (PBE) results for an optimized crystal structure of CdReTe2.

## Properties
- size of the total moment (μB/f.u.) = 1.05
- calculated volume (Å³/cell) = 120.4
- total energy (eV/atom) = -4.5347

Unit cell a=3.869 b=6.329 c=6.324 alpha=51.03 beta=90.00 gamma=90.00
Site moments in Bohr magnetons follow the coordinates.
Sites, in units of the cell vectors:
Re (0.500, 0.750, 0.750)  0.90
Te (0.000, 0.909, 0.909)  0.00
Te (0.000, 0.591, 0.591)  0.00
Cd (0.500, 0.250, 0.250)  0.00